First-principles (GGA-PBE) data for a geometry-optimized RuAuNF2 structure, as listed in Alexandria.

## Properties
SG: P4/mmm
ΔE_f (raw) (eV/atom): -0.1016
Relative energy among the computed polymorphs (kJ/mol of formula units): 0

```
RuAuNF2
1.0
-4.214 -0.357 -0.599
0.686 -1.472 -3.950
0.108 -3.487 1.318
Ru N Au F
1 1 1 2
Direct
0.000 0.000 0.000
0.000 0.000 0.500
0.500 0.500 0.500
0.000 0.500 0.000
0.500 0.000 0.000
```